Tb4ZnRu2: relaxed, PBE-GGA.

Cell: 8.740 8.740 8.630 Å, 90.00 90.00 90.00°
Space group I-42d (No. 122)
Asymmetric unit:
Tb: 0.068 0.180 0.323 (multiplicity 16)
Zn: 0.000 0.000 0.000 (multiplicity 4)
Ru: 0.140 0.250 0.625 (multiplicity 8)

Values from the calculation:
- Spin magnetization: 0.00 μB/f.u.
- Energy: -160.10 eV for the cell shown
- Relative energy among the computed polymorphs: 76 meV per atom
- Energy of formation from the pure elements: -0.2397 eV/atom
- DOS at the Fermi energy: 3.71 states/eV/f.u.